Entry 1:
Crystalline Li2PIr at its relaxed geometry. Source: Alexandria via LeMat-Bulk, functional PBEsol.

Cell: 8.1351 2.9511 4.5023 Å, 90.00 108.66 90.00°
Last column: nearest neighbours and their distance in Å.
Space group Cm (No. 8)
One atom of each set of equivalent atoms:
Li: 0.0000 0.0000 0.0000 (multiplicity 2)  3 Li 2.29-2.51, 2 P 2.53
Li: 0.2369 0.0000 0.8311 (multiplicity 2)  3 Li 2.29-2.51
P: 0.0027 0.5000 0.4566 (multiplicity 2)  3 Ir 2.30-2.38, 4 Li 2.53-2.57
Ir: 0.2751 0.5000 0.3668 (multiplicity 2)  3 P 2.30-2.38

Formation enthalpy at 0 K (eV/atom): -0.55



Entry 2:
Crystalline ZnGaAs2Br at its relaxed geometry. Source: Alexandria via LeMat-Bulk, functional PBEsol.

Cell: 4.7211 4.7211 5.5194 Å, 90.00 90.00 90.00°
Last column: nearest neighbours and their distance in Å.
Space group P4/mmm (No. 123)
One atom of each set of equivalent atoms:
Zn: 0.0000 0.0000 0.0000 (multiplicity 1)  4 As 2.36
Ga: 0.5000 0.5000 0.5000 (multiplicity 1)  4 Br 3.34, 8 As 3.63
As: 0.0000 0.5000 0.0000 (multiplicity 2)  2 Zn 2.36
Br: 0.0000 0.0000 0.5000 (multiplicity 1)  2 Zn 2.76

Raw formation energy (eV per atom): 0.44



Entry 3:
Crystalline ErSbPt at its relaxed geometry. Source: Alexandria via LeMat-Bulk, functional PBEsol.

Cell: 6.4838 6.4838 6.4838 Å, 90.00 90.00 90.00°
Last column: nearest neighbours and their distance in Å.
Space group F-43m (No. 216)
One atom of each set of equivalent atoms:
Er: 0.0000 0.0000 0.0000 (multiplicity 4)  4 Pt 2.81
Sb: 0.0000 0.0000 0.5000 (multiplicity 4)  4 Pt 2.81
Pt: 0.2500 0.2500 0.7500 (multiplicity 4)  4 Sb 2.81, 4 Er 2.81

Raw formation energy (eV per atom): -1.24



Entry 4:
Crystalline Al2P3S9 at its relaxed geometry. Source: Alexandria via LeMat-Bulk, functional PBEsol.

Cell: 17.8018 10.2730 7.2619 Å, 90.00 105.64 90.00°
Last column: nearest neighbours and their distance in Å.
Space group C2 (No. 5)
One atom of each set of equivalent atoms:
Al: 0.0000 0.0000 0.0000 (multiplicity 2)  6 S 2.43-2.54
Al: 0.0000 0.3487 0.0000 (multiplicity 2)  6 S 2.50
Al: 0.1742 0.5219 0.0009 (multiplicity 4)  6 S 2.44-2.53
P: 0.0129 0.6817 0.1559 (multiplicity 4)  3 S 2.01-2.11, 1 P 2.19
P: 0.1475 0.1754 0.8449 (multiplicity 4)  3 S 2.02-2.11, 1 P 2.18
P: 0.1861 0.1880 0.1564 (multiplicity 4)  3 S 2.02-2.11, 1 P 2.18
S: 0.0748 0.8465 0.2382 (multiplicity 4)  1 P 2.02
S: 0.0774 0.0189 0.7714 (multiplicity 4)  1 P 2.02
S: 0.0766 0.1765 0.2149 (multiplicity 4)  1 P 2.11
S: 0.0833 0.5138 0.2145 (multiplicity 4)  1 P 2.11
S: 0.0882 0.6666 0.7712 (multiplicity 4)  1 P 2.01
S: 0.0892 0.3556 0.7863 (multiplicity 4)  1 P 2.11
S: 0.2412 0.3592 0.2310 (multiplicity 4)  1 P 2.02
S: 0.2471 0.1733 0.7630 (multiplicity 4)  1 P 2.02
S: 0.2493 0.5259 0.7631 (multiplicity 4)  1 P 2.02

Raw formation energy (eV per atom): -0.54



Entry 5:
Crystalline La2CrHgF at its relaxed geometry. Source: Alexandria via LeMat-Bulk, functional PBEsol.

Cell: 5.8974 5.8974 4.6320 Å, 90.00 90.00 90.00°
Last column: nearest neighbours and their distance in Å.
Space group P4/mmm (No. 123)
One atom of each set of equivalent atoms:
La: 0.0000 0.5000 0.0000 (multiplicity 2)  2 Hg 2.95
Cr: 0.0000 0.0000 0.5000 (multiplicity 1)  8 La 3.75, 4 F 4.17
Hg: 0.5000 0.5000 0.0000 (multiplicity 1)  2 F 2.32
F: 0.5000 0.5000 0.5000 (multiplicity 1)  2 Hg 2.32

Raw formation energy (eV per atom): 0.34



Entry 6:
Crystalline Sr2HgW at its relaxed geometry. Source: Alexandria via LeMat-Bulk, functional PBEsol.

Cell: 4.7129 4.7129 9.4399 Å, 90.00 90.00 90.00°
Last column: nearest neighbours and their distance in Å.
Space group I-4m2 (No. 119)
One atom of each set of equivalent atoms:
Sr: 0.0000 0.0000 0.0000 (multiplicity 2)  4 W 3.33, 4 Hg 3.34, 4 Sr 3.34
Sr: 0.0000 0.5000 0.2500 (multiplicity 2)  4 Hg 3.33, 4 W 3.34, 4 Sr 3.34
Hg: 0.0000 0.5000 0.7500 (multiplicity 2)  8 Sr 3.33-3.34, 4 W 3.34
W: 0.0000 0.0000 0.5000 (multiplicity 2)  8 Sr 3.33-3.34, 4 Hg 3.34

Formation enthalpy at 0 K (eV/atom): 0.92